Compound: Rb2HfInPd
Source: Alexandria via LeMat-Bulk
Functional: PBE
Structure: relaxed

Results
- E (eV/f.u.) = -15.4
- formation energy from the elements (eV/atom) = 0.88
- total magnetic moment (μB/atom) = 0.00
- space group = P4/mmm

Cell: 7.1102 7.1102 4.7825 Å, 90.00 90.00 90.00°
Fractional positions:
Rb 0.0000 0.5000 0.0000
Rb 0.5000 0.0000 0.0000
Hf 0.0000 0.0000 0.0000
In 0.5000 0.5000 0.5000
Pd 0.0000 0.0000 0.5000